Ti2VCuH | PBE | optimized geometry

The space group is P4/mmm (No. 123) and the conventional cell measures 4.139, 4.139 and 3.570 Å, with angles of 90.00, 90.00 and 90.00 degrees. The asymmetric unit holds Ti at (0.000, 0.500, 0.000), V at (0.000, 0.000, 0.500), Cu at (0.500, 0.500, 0.500) and H at (0.500, 0.500, 0.000).

The mass density comes out at 5.734 g/cm³. The calculation puts the final energy at -6.522 eV per atom. The magnetization is 1.2 μB/cell.